A plane-wave DFT calculation with PBE was carried out for a geometry-optimized Tl2InHg structure.

Computed properties:
- calculated density (g cm⁻³) = 10.3
- total DFT energy (no corrections) (eV/atom) = -1.9088
- SG = No. 139
- calculated formation energy (eV per atom) = 0.03

abc: 7.9905 7.9905 7.9905
angles: 137.16 137.16 62.19
Fractional positions:
Tl (0.0000, 0.5000, 0.5000)
Tl (0.1273, 0.1273, 0.0000)
Tl (0.5000, 0.0000, 0.5000)
Tl (0.8727, 0.8727, 0.0000)
In (0.2500, 0.7500, 0.5000)
In (0.7500, 0.2500, 0.5000)
Hg (0.3721, 0.3721, 0.0000)
Hg (0.6279, 0.6279, 0.0000)